Entry 1:
Below is a crystal of KCuAs2 relaxed with PBEsol, with properties calculated at the SCAN level.

M_tot (μB per formula unit): 0.0
Formation energy (eV/atom): 0.451
Calculated volume (Å³ per atom): 20.052

Lattice parameters (Å, degrees): 4.8407 4.8407 4.8407 60.00 60.00 60.00
With the nearest neighbours (Å) after each atom.
Positions (direct):
K  0.2500  0.2500  0.2500  4 As 2.96, 4 Cu 2.96
As  0.7500  0.7500  0.7500  4 As 2.96, 4 Cu 2.96
Cu  0.5000  0.5000  0.5000  4 K 2.96, 4 As 2.96
As  0.0000  0.0000  0.0000  4 As 2.96, 4 K 2.96

---

Entry 2:
Below is a crystal of KMnCu2As relaxed with PBEsol, with properties calculated at the SCAN level.

M_tot (μB per formula unit): 3.3
Formation energy (eV/atom): 0.255
Calculated volume (Å³ per atom): 20.153

Lattice parameters (Å, degrees): 4.6780 4.6411 4.6411 90.00 90.00 90.00
With the nearest neighbours (Å) after each atom.
Positions (direct):
Cu  0.0000  0.0000  0.5000  2 As 2.32
Cu  0.0000  0.5000  0.0000  2 As 2.32
K  0.5000  0.5000  0.5000  4 Mn 3.28, 8 Cu 3.29
Mn  0.5000  0.0000  0.0000  2 As 2.34
As  0.0000  0.0000  0.0000  4 Cu 2.32, 2 Mn 2.34

---

Entry 3:
Below is a crystal of KCu4As3O12 relaxed with PBEsol, with properties calculated at the SCAN level.

M_tot (μB per formula unit): 2.0
Formation energy without anion corrections (eV/atom): -1.23
Calculated volume (Å³ per atom): 12.342

Lattice parameters (Å, degrees): 7.3928 8.6983 8.6983 90.99 109.23 109.23
With the nearest neighbours (Å) after each atom.
Positions (direct):
O  0.3672  0.8256  0.8163  1 As 1.70
O  0.6921  0.9777  0.5850  1 As 1.72
O  0.4694  0.8469  0.2473  1 As 1.71
Cu  0.2500  0.2616  0.7384  4 O 1.96-1.97
As  0.2500  0.7264  0.2736  4 O 1.71-1.78
O  0.2614  0.7243  0.4816  1 As 1.78, 2 Cu 1.88-1.92
As  0.6234  0.3536  0.1113  4 O 1.70-1.75
O  0.3079  0.0223  0.4150  1 As 1.72
As  0.7500  0.2736  0.7264  4 O 1.71-1.78
O  0.9694  0.2473  0.8469  1 As 1.71
O  0.1806  0.2745  0.5025  1 As 1.75, 1 Cu 1.91
O  0.3194  0.4975  0.7255  1 As 1.75, 1 Cu 1.91
O  0.8672  0.8163  0.8256  1 As 1.70
O  0.8194  0.7255  0.4975  1 As 1.75, 1 Cu 1.91
O  0.1228  0.0210  0.6821  1 As 1.72
As  0.3766  0.6464  0.8887  4 O 1.70-1.75
K  0.7500  0.0093  0.9907  8 O 2.64-2.77
O  0.3772  0.3179  0.9790  1 As 1.72
Cu  0.1423  0.3806  0.0690  4 O 1.92-2.01
O  0.8079  0.4150  0.0223  1 As 1.72
O  0.1328  0.1837  0.1744  1 As 1.70
O  0.6806  0.5025  0.2745  1 As 1.75, 1 Cu 1.91
O  0.7614  0.4816  0.7243  1 As 1.78, 2 Cu 1.88-1.92
As  0.8766  0.8887  0.6464  4 O 1.70-1.75
Cu  0.7500  0.4946  0.5054  4 O 1.88-1.91
O  0.0306  0.7527  0.1531  1 As 1.71
O  0.5306  0.1531  0.7527  1 As 1.71
K  0.2500  0.9907  0.0093  8 O 2.64-2.77
O  0.6228  0.6821  0.0210  1 As 1.72
Cu  0.3577  0.9310  0.6194  4 O 1.92-2.01
Cu  0.7500  0.7384  0.2616  4 O 1.96-1.97
Cu  0.6423  0.0690  0.3806  4 O 1.92-2.01
O  0.2386  0.5184  0.2757  1 As 1.78, 2 Cu 1.88-1.92
As  0.1234  0.1113  0.3536  4 O 1.70-1.75
O  0.8772  0.9790  0.3179  1 As 1.72
O  0.6328  0.1744  0.1837  1 As 1.70
O  0.1921  0.5850  0.9777  1 As 1.72
Cu  0.2500  0.5054  0.4946  4 O 1.88-1.91
O  0.7386  0.2757  0.5184  1 As 1.78, 2 Cu 1.88-1.92
Cu  0.8577  0.6194  0.9310  4 O 1.92-2.01

---

Entry 4:
Below is a crystal of K2Cu3As4O12 relaxed with PBEsol, with properties calculated at the SCAN level.

M_tot (μB per formula unit): 1.0
Formation energy without anion corrections (eV/atom): -1.37
Calculated volume (Å³ per atom): 13.987

Lattice parameters (Å, degrees): 5.3940 5.8491 10.8987 77.80 75.67 62.54
With the nearest neighbours (Å) after each atom.
Positions (direct):
O  0.1178  0.1274  0.1165  1 As 1.80, 2 Cu 1.95-1.97
O  0.1113  0.6486  0.6444  1 As 1.71
O  0.0916  0.1753  0.6415  1 As 1.68
O  0.3617  0.8726  0.8835  1 As 1.80, 2 Cu 1.95-1.97
O  0.1435  0.5752  0.1378  2 As 1.78-1.85
K  0.3617  0.8541  0.4226  9 O 2.79-3.07
O  0.5958  0.6486  0.6444  1 As 1.71
Cu  0.7647  0.2280  0.2426  4 O 1.93-1.97
As  0.6704  0.7001  0.9590  3 O 1.80-1.85
As  0.9184  0.4709  0.6923  4 O 1.68-1.78
K  0.6383  0.1459  0.5774  9 O 2.79-3.07
O  0.6383  0.1274  0.1165  1 As 1.80, 2 Cu 1.95-1.97
As  0.0816  0.5291  0.3077  4 O 1.68-1.78
O  0.8887  0.3514  0.3556  1 As 1.71
O  0.8565  0.4248  0.8622  2 As 1.78-1.85
O  0.8822  0.8726  0.8835  1 As 1.80, 2 Cu 1.95-1.97
O  0.4042  0.3514  0.3556  1 As 1.71
Cu  0.0000  0.0000  0.0000  4 O 1.95
O  0.9084  0.8247  0.3585  1 As 1.68
As  0.3296  0.2999  0.0410  3 O 1.80-1.85
Cu  0.2353  0.7720  0.7574  4 O 1.93-1.97

---

Across the entries above, VASP energy takes the values -15.527; -15.179; -11.455; -11.744 eV per atom, respectively.